CuSiAs3 | PBE-GGA | optimized geometry

Spin magnetization = 0.0 μB per formula unit
Energy above the lowest structure with this stoichiometry = 5.0 kJ/mol of atoms
VASP energy = -3.81 eV/atom
SG = Pm-3m, No. 221
Raw formation energy = 0.8812 eV/atom

Cell: 4.7391 4.7391 4.7391 Å, 90.00 90.00 90.00°
Fractional positions:
As  0.5000  0.0000  0.0000
As  0.0000  0.0000  0.5000
As  0.0000  0.5000  0.0000
Si  0.0000  0.0000  0.0000
Cu  0.5000  0.5000  0.5000

=====

TbCo2B2 | PBE-GGA | optimized geometry

E_form = -0.419 eV per atom
Spin magnetization = 0.0 μB per formula unit
VASP energy = -6.86 eV/atom
SG = C2/m, No. 12

Cell: 3.2051 3.9573 5.0522 Å, 104.16 108.49 90.00°
Fractional positions:
Tb  0.0000  0.0000  0.0000
B  0.7378  0.1294  0.4757
B  0.2622  0.8706  0.5243
Co  0.3332  0.4051  0.6665
Co  0.6668  0.5949  0.3335